Entry 1:
A relaxed structure of TiNbAl2. Source: the Alexandria database, functional GGA-PBE.

Geometry as CIF:
```
data_TiNbAl2
_symmetry_space_group_name_H-M 'R -3 m'
_symmetry_Int_Tables_number 166
_symmetry_space_group_name_Hall '-R 3 2"'
_cell_length_a 2.9070
_cell_length_b 2.9070
_cell_length_c 28.1092
_cell_angle_alpha 90.00
_cell_angle_beta 90.00
_cell_angle_gamma 120.00
loop_
_atom_site_label
_atom_site_fract_x
_atom_site_fract_y
_atom_site_fract_z
_atom_site_occupancy
Ti1 0.0000 0.0000 0.0000 1
Nb1 0.0000 0.0000 0.5000 1
Al1 0.0000 0.0000 0.2503 1
```

## Properties
DOS at the Fermi energy: 11.02 states/eV per cell
ΔE_f: -149 meV per atom

=====

Entry 2:
A relaxed structure of PmZn3Cu. Source: the Alexandria database, functional GGA-PBE.

Geometry as CIF:
```
data_PmZn3Cu
_symmetry_space_group_name_H-M 'C m c m'
_symmetry_Int_Tables_number 63
_symmetry_space_group_name_Hall '-C 2c 2'
_cell_length_a 5.801
_cell_length_b 10.801
_cell_length_c 5.890
_cell_angle_alpha 90.00
_cell_angle_beta 90.00
_cell_angle_gamma 90.00
loop_
_atom_site_label
_atom_site_fract_x
_atom_site_fract_y
_atom_site_fract_z
_atom_site_occupancy
Pm1 0.000 0.242 0.250 1
Zn1 0.000 0.131 0.750 1
Zn2 0.230 0.500 0.000 1
Cu1 0.000 0.356 0.750 1
```

## Properties
DOS at the Fermi energy: 9.81 states/eV per cell
ΔE_f: -274 meV per atom

=====

Entry 3:
A relaxed structure of KRhOF2. Source: the Alexandria database, functional GGA-PBE.

Geometry as CIF:
```
data_KRhOF2
_symmetry_space_group_name_H-M 'P 4/m m m'
_symmetry_Int_Tables_number 123
_symmetry_space_group_name_Hall '-P 4 2'
_cell_length_a 4.435
_cell_length_b 4.435
_cell_length_c 3.766
_cell_angle_alpha 90.00
_cell_angle_beta 90.00
_cell_angle_gamma 90.00
loop_
_atom_site_label
_atom_site_fract_x
_atom_site_fract_y
_atom_site_fract_z
_atom_site_occupancy
K1 0.000 0.000 0.000 1
Rh1 0.500 0.500 0.500 1
O1 0.500 0.500 0.000 1
F1 0.000 0.500 0.500 1
```

## Properties
DOS at the Fermi energy: 3.58 states/eV per cell
E_form (uncorrected): -1.592 eV/atom

=====

Entry 4:
A relaxed structure of SmDyPtAu. Source: the Alexandria database, functional GGA-PBE.

Geometry as CIF:
```
data_SmDyPtAu
_symmetry_space_group_name_H-M 'A m m 2'
_symmetry_Int_Tables_number 38
_cell_length_a 4.635
_cell_length_b 3.824
_cell_length_c 10.777
_cell_angle_alpha 90.00
_cell_angle_beta 90.00
_cell_angle_gamma 90.00
loop_
_symmetry_equiv_pos_as_xyz
'x,y,z'
'-x,-y,z'
'-x,y,z'
'x,-y,z'
'x,y+1/2,z+1/2'
'-x,-y+1/2,z+1/2'
'-x,y+1/2,z+1/2'
'x,-y+1/2,z+1/2'
loop_
_atom_site_label
_atom_site_fract_x
_atom_site_fract_y
_atom_site_fract_z
_atom_site_occupancy
Sm1 0.000 0.000 0.000 1
Dy1 0.500 0.000 0.724 1
Pt1 0.000 0.000 0.272 1
Au1 0.500 0.000 0.447 1
```

## Properties
DOS at the Fermi energy: 4.64 states/eV per cell
ΔE_f: -1047 meV per atom